FeAg2Sb: optimized geometry, PBEsol.

The density of states at the Fermi level is 0.6475 states/eV per atom. For the formation energy from raw total energies, the calculation gives 385 meV per atom.

It has space group Cmmm (No. 65), with a = 5.392 Å, b = 8.601 Å, c = 3.012 Å, α = 90.00°, β = 90.00° and γ = 90.00°. The asymmetric unit holds Fe at (0.000, 0.000, 0.000), Ag at (0.250, 0.250, 0.500) and Sb at (0.000, 0.500, 0.000).